Run a
! Ca2YRh (SCAN, single point on PBEsol structure); values from VASP
&SYSTEM
  ibrav = 0, nat = 4, ntyp = 3
/
ATOMIC_SPECIES
Ca 40.08 Ca.upf
Y 88.91 Y.upf
Rh 102.91 Rh.upf
CELL_PARAMETERS angstrom
2.393 -2.396 0.000
2.393 2.396 0.000
0.000 0.000 9.286
ATOMIC_POSITIONS crystal
Ca 0.000 0.000 0.179
Ca 0.000 0.000 0.821
Y 0.500 0.500 0.500
Rh 0.500 0.500 0.000
! N(E_F)	0.756	states/eV/atom
! space group	Cmmm

Run b
! Ca2YRh (SCAN, single point on PBEsol structure); values from VASP
&SYSTEM
  ibrav = 0, nat = 4, ntyp = 3
/
ATOMIC_SPECIES
Ca 40.08 Ca.upf
Y 88.91 Y.upf
Rh 102.91 Rh.upf
CELL_PARAMETERS angstrom
3.445 0.000 0.000
0.000 3.445 0.000
0.000 0.000 9.452
ATOMIC_POSITIONS crystal
Ca 0.000 0.000 0.000
Ca 0.500 0.500 0.335
Y 0.000 0.000 0.653
Rh 0.500 0.500 0.806
! N(E_F)	0.943	states/eV/atom
! space group	P4mm

Here are the energies relative to the best structure, in eV/atom: run a 0.243; run b 0.000.

Run a
! Sr2CuHg (SCAN, single point on PBEsol structure); values from VASP
&SYSTEM
  ibrav = 0, nat = 4, ntyp = 3
/
ATOMIC_SPECIES
Sr 87.62 Sr.upf
Cu 63.55 Cu.upf
Hg 200.59 Hg.upf
CELL_PARAMETERS angstrom
2.198 1.269 7.693
-2.198 1.269 7.693
0.000 -2.538 7.693
ATOMIC_POSITIONS crystal
Sr 0.241 0.241 0.241
Sr 0.759 0.759 0.759
Cu 0.500 0.500 0.500
Hg 0.000 0.000 0.000
! N(E_F)	0.620	states/eV/atom
! space group	R-3m

Run b
! Sr2CuHg (SCAN, single point on PBEsol structure); values from VASP
&SYSTEM
  ibrav = 0, nat = 4, ntyp = 3
/
ATOMIC_SPECIES
Sr 87.62 Sr.upf
Cu 63.55 Cu.upf
Hg 200.59 Hg.upf
CELL_PARAMETERS angstrom
4.500 0.000 0.000
0.000 4.500 0.000
0.000 0.000 6.414
ATOMIC_POSITIONS crystal
Sr 0.000 0.000 0.000
Sr 0.500 0.500 0.463
Cu 0.000 0.000 0.503
Hg 0.500 0.500 0.955
! N(E_F)	0.581	states/eV/atom
! space group	P4mm

Here are the energies relative to the best structure, in eV/atom: run a 0.000; run b 0.030.

Run a
! KNa2Au2 (SCAN, single point on PBEsol structure); values from VASP
&SYSTEM
  ibrav = 0, nat = 10, ntyp = 3
/
ATOMIC_SPECIES
K 39.10 K.upf
Na 22.99 Na.upf
Au 196.97 Au.upf
CELL_PARAMETERS angstrom
8.390 0.000 0.000
0.000 8.390 0.000
0.000 0.000 3.566
ATOMIC_POSITIONS crystal
K 0.000 0.000 0.000
K 0.500 0.500 0.000
Na 0.164 0.336 0.500
Na 0.336 0.836 0.500
Na 0.664 0.164 0.500
Na 0.836 0.664 0.500
Au 0.123 0.623 0.000
Au 0.377 0.123 0.000
Au 0.623 0.877 0.000
Au 0.877 0.377 0.000
! N(E_F)	0.290	states/eV/atom
! space group	P4/mbm

Run b
! KNa2Au2 (SCAN, single point on PBEsol structure); values from VASP
&SYSTEM
  ibrav = 0, nat = 5, ntyp = 3
/
ATOMIC_SPECIES
K 39.10 K.upf
Na 22.99 Na.upf
Au 196.97 Au.upf
CELL_PARAMETERS angstrom
-2.289 2.289 6.513
2.289 -2.289 6.513
2.289 2.289 -6.513
ATOMIC_POSITIONS crystal
K 0.000 0.000 0.000
Na 0.250 0.750 0.500
Na 0.750 0.250 0.500
Au 0.397 0.397 0.000
Au 0.603 0.603 0.000
! N(E_F)	0.347	states/eV/atom
! space group	I4/mmm

Here are the energies relative to the best structure, in eV/atom: run a 0.057; run b 0.000.

Run a
! BaLi2Ag (SCAN, single point on PBEsol structure); values from VASP
&SYSTEM
  ibrav = 0, nat = 4, ntyp = 3
/
ATOMIC_SPECIES
Ba 137.33 Ba.upf
Li 6.94 Li.upf
Ag 107.87 Ag.upf
CELL_PARAMETERS angstrom
4.518 -2.097 0.000
4.518 2.097 0.000
-1.673 0.000 5.644
ATOMIC_POSITIONS crystal
Ba 0.000 0.000 0.000
Li 0.200 0.200 0.601
Li 0.800 0.800 0.399
Ag 0.500 0.500 0.500
! N(E_F)	0.604	states/eV/atom
! space group	C2/m

Run b
! BaLi2Ag (SCAN, single point on PBEsol structure); values from VASP
&SYSTEM
  ibrav = 0, nat = 4, ntyp = 3
/
ATOMIC_SPECIES
Ba 137.33 Ba.upf
Li 6.94 Li.upf
Ag 107.87 Ag.upf
CELL_PARAMETERS angstrom
3.722 0.000 0.000
0.000 3.722 0.000
0.000 0.000 7.535
ATOMIC_POSITIONS crystal
Ba 0.000 0.000 0.000
Li 0.000 0.000 0.558
Li 0.500 0.500 0.365
Ag 0.500 0.500 0.713
! N(E_F)	0.536	states/eV/atom
! space group	P4mm

Here are the energies relative to the best structure, in eV/atom: run a 0.000; run b 0.025.

Run a
! ScReAu2 (SCAN, single point on PBEsol structure); values from VASP
&SYSTEM
  ibrav = 0, nat = 4, ntyp = 3
/
ATOMIC_SPECIES
Sc 44.96 Sc.upf
Re 186.21 Re.upf
Au 196.97 Au.upf
CELL_PARAMETERS angstrom
0.000 3.231 3.231
3.231 0.000 3.231
3.231 3.231 0.000
ATOMIC_POSITIONS crystal
Sc 0.000 0.000 0.000
Re 0.750 0.750 0.750
Au 0.250 0.250 0.250
Au 0.500 0.500 0.500
! N(E_F)	1.090	states/eV/atom
! space group	F-43m

Run b
! ScReAu2 (SCAN, single point on PBEsol structure); values from VASP
&SYSTEM
  ibrav = 0, nat = 4, ntyp = 3
/
ATOMIC_SPECIES
Sc 44.96 Sc.upf
Re 186.21 Re.upf
Au 196.97 Au.upf
CELL_PARAMETERS angstrom
1.428 0.825 9.410
-1.428 0.825 9.410
0.000 -1.649 9.410
ATOMIC_POSITIONS crystal
Sc 0.000 0.000 0.000
Re 0.500 0.500 0.500
Au 0.248 0.248 0.248
Au 0.752 0.752 0.752
! N(E_F)	0.791	states/eV/atom
! space group	R-3m

Here are the energies relative to the best structure, in eV/atom: run a 0.000; run b 0.008.

Run a
! IrRh2Cl (SCAN, single point on PBEsol structure); values from VASP
&SYSTEM
  ibrav = 0, nat = 4, ntyp = 3
/
ATOMIC_SPECIES
Ir 192.22 Ir.upf
Rh 102.91 Rh.upf
Cl 35.45 Cl.upf
CELL_PARAMETERS angstrom
0.000 3.055 3.055
3.055 0.000 3.055
3.055 3.055 0.000
ATOMIC_POSITIONS crystal
Ir 0.000 0.000 0.000
Rh 0.500 0.500 0.500
Rh 0.750 0.750 0.750
Cl 0.250 0.250 0.250
! N(E_F)	1.027	states/eV/atom
! space group	F-43m

Run b
! IrRh2Cl (SCAN, single point on PBEsol structure); values from VASP
&SYSTEM
  ibrav = 0, nat = 4, ntyp = 3
/
ATOMIC_SPECIES
Ir 192.22 Ir.upf
Rh 102.91 Rh.upf
Cl 35.45 Cl.upf
CELL_PARAMETERS angstrom
1.402 0.810 8.230
-1.402 0.810 8.230
0.000 -1.619 8.230
ATOMIC_POSITIONS crystal
Ir 0.000 0.000 0.000
Rh 0.248 0.248 0.248
Rh 0.752 0.752 0.752
Cl 0.500 0.500 0.500
! N(E_F)	1.074	states/eV/atom
! space group	R-3m

Here are the energies relative to the best structure, in eV/atom: run a 0.587; run b 0.000.

Run a
! Tl2InIr (SCAN, single point on PBEsol structure); values from VASP
&SYSTEM
  ibrav = 0, nat = 4, ntyp = 3
/
ATOMIC_SPECIES
Tl 204.38 Tl.upf
In 114.82 In.upf
Ir 192.22 Ir.upf
CELL_PARAMETERS angstrom
4.843 -1.540 0.000
4.843 1.540 0.000
-2.576 0.000 6.533
ATOMIC_POSITIONS crystal
Tl 0.000 0.000 0.000
Tl 0.181 0.181 0.719
In 0.830 0.830 0.359
Ir 0.558 0.558 0.359
! N(E_F)	0.401	states/eV/atom
! space group	Cm

Run b
! Tl2InIr (SCAN, single point on PBEsol structure); values from VASP
&SYSTEM
  ibrav = 0, nat = 4, ntyp = 3
/
ATOMIC_SPECIES
Tl 204.38 Tl.upf
In 114.82 In.upf
Ir 192.22 Ir.upf
CELL_PARAMETERS angstrom
-1.518 2.254 6.961
1.518 -2.254 6.961
1.518 2.254 -6.961
ATOMIC_POSITIONS crystal
Tl 0.180 0.180 0.000
Tl 0.820 0.820 0.000
In 0.500 0.000 0.500
Ir 0.000 0.500 0.500
! N(E_F)	0.322	states/eV/atom
! space group	Immm

Here are the energies relative to the best structure, in eV/atom: run a 0.050; run b 0.000.

Run a
! CrOs2W (SCAN, single point on PBEsol structure); values from VASP
&SYSTEM
  ibrav = 0, nat = 4, ntyp = 3
/
ATOMIC_SPECIES
Cr 52.00 Cr.upf
Os 190.23 Os.upf
W 183.84 W.upf
CELL_PARAMETERS angstrom
4.432 -1.355 0.000
4.432 1.355 0.000
-0.832 0.000 4.626
ATOMIC_POSITIONS crystal
Cr 0.000 0.000 0.000
Os 0.255 0.255 0.766
Os 0.745 0.745 0.234
W 0.500 0.500 0.500
! N(E_F)	0.818	states/eV/atom
! space group	C2/m

Run b
! CrOs2W (SCAN, single point on PBEsol structure); values from VASP
&SYSTEM
  ibrav = 0, nat = 4, ntyp = 3
/
ATOMIC_SPECIES
Cr 52.00 Cr.upf
Os 190.23 Os.upf
W 183.84 W.upf
CELL_PARAMETERS angstrom
0.000 3.054 3.054
3.054 0.000 3.054
3.054 3.054 0.000
ATOMIC_POSITIONS crystal
Cr 0.000 0.000 0.000
Os 0.250 0.250 0.250
Os 0.750 0.750 0.750
W 0.500 0.500 0.500
! N(E_F)	0.569	states/eV/atom
! space group	Fm-3m

Here are the energies relative to the best structure, in eV/atom: run a 0.082; run b 0.000.

Run a
! BaMnTc (SCAN, single point on PBEsol structure); values from VASP
&SYSTEM
  ibrav = 0, nat = 3, ntyp = 3
/
ATOMIC_SPECIES
Ba 137.33 Ba.upf
Mn 54.94 Mn.upf
Tc 98.00 Tc.upf
CELL_PARAMETERS angstrom
0.000 3.292 3.292
3.292 0.000 3.292
3.292 3.292 0.000
ATOMIC_POSITIONS crystal
Ba 0.000 0.000 0.000
Mn 0.750 0.750 0.750
Tc 0.250 0.250 0.250
! N(E_F)	1.603	states/eV/atom
! space group	F-43m

Run b
! BaMnTc (SCAN, single point on PBEsol structure); values from VASP
&SYSTEM
  ibrav = 0, nat = 3, ntyp = 3
/
ATOMIC_SPECIES
Ba 137.33 Ba.upf
Mn 54.94 Mn.upf
Tc 98.00 Tc.upf
CELL_PARAMETERS angstrom
0.000 3.213 3.213
3.213 0.000 3.213
3.213 3.213 0.000
ATOMIC_POSITIONS crystal
Ba 0.000 0.000 0.000
Mn 0.750 0.750 0.750
Tc 0.500 0.500 0.500
! N(E_F)	0.893	states/eV/atom
! space group	F-43m

Here are the energies relative to the best structure, in eV/atom: run a 0.631; run b 0.000.

Run a
! Cd2SbPb (SCAN, single point on PBEsol structure); values from VASP
&SYSTEM
  ibrav = 0, nat = 4, ntyp = 3
/
ATOMIC_SPECIES
Cd 112.41 Cd.upf
Sb 121.76 Sb.upf
Pb 207.20 Pb.upf
CELL_PARAMETERS angstrom
3.377 0.000 0.000
0.000 4.147 0.000
0.000 0.000 7.183
ATOMIC_POSITIONS crystal
Cd 0.000 0.000 0.000
Cd 0.500 0.500 0.215
Sb 0.500 0.500 0.781
Pb 0.000 0.000 0.466
! N(E_F)	0.375	states/eV/atom
! space group	Pmm2

Run b
! Cd2SbPb (SCAN, single point on PBEsol structure); values from VASP
&SYSTEM
  ibrav = 0, nat = 4, ntyp = 3
/
ATOMIC_SPECIES
Cd 112.41 Cd.upf
Sb 121.76 Sb.upf
Pb 207.20 Pb.upf
CELL_PARAMETERS angstrom
3.209 0.000 0.000
0.000 4.385 0.000
-1.540 0.000 7.277
ATOMIC_POSITIONS crystal
Cd 0.000 0.000 0.000
Cd 0.395 0.500 0.785
Sb 0.787 0.000 0.574
Pb 0.615 0.500 0.235
! N(E_F)	0.328	states/eV/atom
! space group	Pm

Here are the energies relative to the best structure, in eV/atom: run a 0.035; run b 0.000.

Run a
! Pt3O4 (SCAN, single point on PBEsol structure); values from VASP
&SYSTEM
  ibrav = 0, nat = 14, ntyp = 2
/
ATOMIC_SPECIES
Pt 195.08 Pt.upf
O 16.00 O.upf
CELL_PARAMETERS angstrom
5.579 0.000 0.000
0.000 5.579 0.000
0.000 0.000 5.579
ATOMIC_POSITIONS crystal
Pt 0.000 0.250 0.500
Pt 0.000 0.750 0.500
Pt 0.250 0.500 0.000
Pt 0.500 0.000 0.250
Pt 0.500 0.000 0.750
Pt 0.750 0.500 0.000
O 0.250 0.250 0.250
O 0.250 0.250 0.750
O 0.250 0.750 0.250
O 0.250 0.750 0.750
O 0.750 0.250 0.250
O 0.750 0.250 0.750
O 0.750 0.750 0.250
O 0.750 0.750 0.750
! N(E_F)	0.636	states/eV/atom
! space group	Pm-3n

Run b
! Pt3O4 (SCAN, single point on PBEsol structure); values from VASP
&SYSTEM
  ibrav = 0, nat = 7, ntyp = 2
/
ATOMIC_SPECIES
Pt 195.08 Pt.upf
O 16.00 O.upf
CELL_PARAMETERS angstrom
-2.694 2.694 2.694
2.694 -2.694 2.694
2.694 2.694 -2.694
ATOMIC_POSITIONS crystal
Pt 0.000 0.500 0.500
Pt 0.500 0.000 0.500
Pt 0.500 0.500 0.000
O 0.000 0.000 0.500
O 0.000 0.500 0.000
O 0.500 0.000 0.000
O 0.500 0.500 0.500
! N(E_F)	0.854	states/eV/atom
! space group	Im-3m

Here are the energies relative to the best structure, in eV/atom: run a 0.000; run b 1.330.

Run a
! IrPbCl2 (SCAN, single point on PBEsol structure); values from VASP
&SYSTEM
  ibrav = 0, nat = 4, ntyp = 3
/
ATOMIC_SPECIES
Ir 192.22 Ir.upf
Pb 207.20 Pb.upf
Cl 35.45 Cl.upf
CELL_PARAMETERS angstrom
3.449 0.000 0.000
0.000 3.449 0.000
0.000 0.000 6.835
ATOMIC_POSITIONS crystal
Ir 0.000 0.000 0.000
Pb 0.500 0.500 0.340
Cl 0.000 0.000 0.631
Cl 0.500 0.500 0.937
! N(E_F)	0.313	states/eV/atom
! space group	P4mm

Run b
! IrPbCl2 (SCAN, single point on PBEsol structure); values from VASP
&SYSTEM
  ibrav = 0, nat = 4, ntyp = 3
/
ATOMIC_SPECIES
Ir 192.22 Ir.upf
Pb 207.20 Pb.upf
Cl 35.45 Cl.upf
CELL_PARAMETERS angstrom
-1.567 2.024 6.932
1.567 -2.024 6.932
1.567 2.024 -6.932
ATOMIC_POSITIONS crystal
Ir 0.000 0.000 0.000
Pb 0.171 0.671 0.500
Cl 0.484 0.484 0.000
Cl 0.775 0.275 0.500
! N(E_F)	0.392	states/eV/atom
! space group	Imm2

Here are the energies relative to the best structure, in eV/atom: run a 0.075; run b 0.000.